DFT (SCAN) results for a PBEsol-optimized structure of Tl2Se.

The structure in CIF format:
```
data_Tl2Se
_cell_length_a 3.743
_cell_length_b 3.743
_cell_length_c 12.019
_cell_angle_alpha 90.00
_cell_angle_beta 90.00
_cell_angle_gamma 90.00
_space_group_name_H-M_alt 'I 4/m m m'
_space_group_IT_number 139
_space_group_name_Hall '-I 4 2'
loop_
_atom_site_label
_atom_site_fract_x
_atom_site_fract_y
_atom_site_fract_z
Tl1 0.000 0.000 0.140
Se1 0.000 0.000 0.500
```

Properties
- Density: 9.62 Mg/m³
- Total DFT energy (no corrections): -4.06174 Ry/atom
- DOS at the Fermi energy: 0.05 states/eV per atom
- Distance to the lowest polymorph of the same formula: 61 meV per atom
- Formation energy from raw total energies: -0.331 eV/atom



DFT (SCAN) results for a PBEsol-optimized structure of CrPClF2.

The structure in CIF format:
```
data_CrPClF2
_cell_length_a 3.792
_cell_length_b 3.792
_cell_length_c 7.287
_cell_angle_alpha 90.00
_cell_angle_beta 90.00
_cell_angle_gamma 90.00
_space_group_name_H-M_alt 'P 4/m m m'
_space_group_IT_number 123
_space_group_name_Hall '-P 4 2'
loop_
_atom_site_label
_atom_site_fract_x
_atom_site_fract_y
_atom_site_fract_z
Cr1 0.000 0.000 0.000
P1 0.500 0.500 0.500
Cl1 0.500 0.500 0.000
F1 0.000 0.500 0.500
```

Properties
- Density: 2.48 Mg/m³
- Total DFT energy (no corrections): -0.70554 Ry/atom
- DOS at the Fermi energy: 0.20 states/eV per atom
- Formation energy from raw total energies: -0.831 eV/atom



DFT (SCAN) results for a PBEsol-optimized structure of TaTl.

The structure in CIF format:
```
data_TaTl
_cell_length_a 4.1407
_cell_length_b 4.1407
_cell_length_c 5.9989
_cell_angle_alpha 90.00
_cell_angle_beta 90.00
_cell_angle_gamma 120.00
_space_group_name_H-M_alt 'P 63/m m c'
_space_group_IT_number 194
_space_group_name_Hall '-P 6c 2c'
loop_
_atom_site_label
_atom_site_fract_x
_atom_site_fract_y
_atom_site_fract_z
Ta1 0.3333 0.6667 0.2500
Tl1 0.0000 0.0000 0.0000
```

Properties
- Density: 14.37 Mg/m³
- Total DFT energy (no corrections): -5.02108 Ry/atom
- DOS at the Fermi energy: 0.18 states/eV per atom
- Energy relative to the elements: 1156 meV/atom
- Distance to the lowest polymorph of the same formula: 614 meV per atom



DFT (SCAN) results for a PBEsol-optimized structure of Cs2BiPWO8.

The structure in CIF format:
```
data_Cs2BiPWO8
_cell_length_a 7.158
_cell_length_b 12.549
_cell_length_c 21.293
_cell_angle_alpha 90.00
_cell_angle_beta 90.00
_cell_angle_gamma 90.00
_space_group_name_H-M_alt 'I b c a'
_space_group_IT_number 73
_space_group_name_Hall '-I 2b 2c'
loop_
_atom_site_label
_atom_site_fract_x
_atom_site_fract_y
_atom_site_fract_z
Cs1 0.032 0.085 0.159
Bi1 0.250 0.168 0.500
P1 0.250 0.073 0.000
W1 0.000 0.250 0.343
O1 0.060 0.140 0.795
O2 0.082 0.152 0.008
O3 0.202 0.217 0.390
O4 0.227 0.001 0.557
```

Properties
- Density: 5.68 Mg/m³
- Total DFT energy (no corrections): -1.77111 Ry/atom
- DOS at the Fermi energy: 0.00 states/eV per atom
- Formation energy from raw total energies: -2.240 eV/atom



DFT (SCAN) results for a PBEsol-optimized structure of MnMo2.

The structure in CIF format:
```
data_MnMo2
_cell_length_a 2.7050
_cell_length_b 2.7050
_cell_length_c 6.5800
_cell_angle_alpha 90.00
_cell_angle_beta 90.00
_cell_angle_gamma 120.00
_space_group_name_H-M_alt 'P -3 m 1'
_space_group_IT_number 164
_space_group_name_Hall '-P 3 2"'
loop_
_atom_site_label
_atom_site_fract_x
_atom_site_fract_y
_atom_site_fract_z
Mn1 0.0000 0.0000 0.0000
Mo1 0.3333 0.6667 0.3146
```

Properties
- Density: 9.83 Mg/m³
- Total DFT energy (no corrections): -2.12145 Ry/atom
- DOS at the Fermi energy: 1.08 states/eV per atom
- Energy relative to the elements: 478 meV/atom



DFT (SCAN) results for a PBEsol-optimized structure of CaIn2OsBr.

The structure in CIF format:
```
data_CaIn2OsBr
_cell_length_a 5.085
_cell_length_b 5.085
_cell_length_c 5.517
_cell_angle_alpha 90.00
_cell_angle_beta 90.00
_cell_angle_gamma 90.00
_space_group_name_H-M_alt 'P 4/m m m'
_space_group_IT_number 123
_space_group_name_Hall '-P 4 2'
loop_
_atom_site_label
_atom_site_fract_x
_atom_site_fract_y
_atom_site_fract_z
Ca1 0.000 0.000 0.000
In1 0.000 0.500 0.500
Os1 0.000 0.000 0.500
Br1 0.500 0.500 0.000
```

Properties
- Density: 6.28 Mg/m³
- Total DFT energy (no corrections): -2.48560 Ry/atom
- DOS at the Fermi energy: 0.52 states/eV per atom
- Formation energy from raw total energies: -0.263 eV/atom



DFT (SCAN) results for a PBEsol-optimized structure of Li3CuO2.

The structure in CIF format:
```
data_Li3CuO2
_cell_length_a 5.041
_cell_length_b 8.693
_cell_length_c 6.147
_cell_angle_alpha 90.00
_cell_angle_beta 111.81
_cell_angle_gamma 90.00
_space_group_name_H-M_alt 'P 1 21/c 1'
_space_group_IT_number 14
loop_
_space_group_symop_operation_xyz
'x,y,z'
'-x,-y,-z'
'-x,y+1/2,-z+1/2'
'x,-y+1/2,z+1/2'
loop_
_atom_site_label
_atom_site_fract_x
_atom_site_fract_y
_atom_site_fract_z
Li1 0.214 0.197 0.191
Li2 0.256 0.510 0.995
Li3 0.265 0.529 0.367
Cu1 0.229 0.686 0.678
O1 0.004 0.152 0.395
O2 0.413 0.505 0.716
```

Properties
- Density: 3.09 Mg/m³
- Total DFT energy (no corrections): -0.54173 Ry/atom
- DOS at the Fermi energy: 0.00 states/eV per atom
- Formation energy from raw total energies: -1.565 eV/atom



DFT (SCAN) results for a PBEsol-optimized structure of Al4Fe3.

The structure in CIF format:
```
data_Al4Fe3
_cell_length_a 2.968
_cell_length_b 2.968
_cell_length_c 19.650
_cell_angle_alpha 90.00
_cell_angle_beta 90.00
_cell_angle_gamma 90.00
_space_group_name_H-M_alt 'I 4/m m m'
_space_group_IT_number 139
_space_group_name_Hall '-I 4 2'
loop_
_atom_site_label
_atom_site_fract_x
_atom_site_fract_y
_atom_site_fract_z
Al1 0.000 0.000 0.066
Al2 0.000 0.000 0.348
Fe1 0.000 0.000 0.216
Fe2 0.000 0.000 0.500
```

Properties
- Density: 5.29 Mg/m³
- Total DFT energy (no corrections): -0.91832 Ry/atom
- DOS at the Fermi energy: 0.43 states/eV per atom
- Energy relative to the elements: -295 meV/atom



DFT (SCAN) results for a PBEsol-optimized structure of YAlSi.

The structure in CIF format:
```
data_YAlSi
_cell_length_a 6.587
_cell_length_b 6.587
_cell_length_c 6.587
_cell_angle_alpha 90.00
_cell_angle_beta 90.00
_cell_angle_gamma 90.00
_space_group_name_H-M_alt 'F -4 3 m'
_space_group_IT_number 216
_space_group_name_Hall 'F -4 2 3'
loop_
_atom_site_label
_atom_site_fract_x
_atom_site_fract_y
_atom_site_fract_z
Y1 0.000 0.000 0.000
Al1 0.250 0.250 0.750
Si1 0.250 0.250 0.250
```

Properties
- Density: 3.35 Mg/m³
- Total DFT energy (no corrections): -1.10392 Ry/atom
- DOS at the Fermi energy: 0.37 states/eV per atom
- Formation energy from raw total energies: 0.184 eV/atom



DFT (SCAN) results for a PBEsol-optimized structure of Y5Pt.

The structure in CIF format:
```
data_Y5Pt
_cell_length_a 5.9047
_cell_length_b 5.9047
_cell_length_c 5.7402
_cell_angle_alpha 90.00
_cell_angle_beta 90.00
_cell_angle_gamma 120.00
_space_group_name_H-M_alt 'P 6/m m m'
_space_group_IT_number 191
_space_group_name_Hall '-P 6 2'
loop_
_atom_site_label
_atom_site_fract_x
_atom_site_fract_y
_atom_site_fract_z
Y1 0.0000 0.5000 0.0000
Y2 0.3333 0.6667 0.5000
Pt1 0.0000 0.0000 0.5000
```

Properties
- Density: 6.13 Mg/m³
- Total DFT energy (no corrections): -2.51686 Ry/atom
- DOS at the Fermi energy: 1.15 states/eV per atom
- Energy relative to the elements: 658 meV/atom
- Distance to the lowest polymorph of the same formula: 1139 meV per atom



DFT (SCAN) results for a PBEsol-optimized structure of Mg2OsRu.

The structure in CIF format:
```
data_Mg2OsRu
_cell_length_a 6.193
_cell_length_b 6.193
_cell_length_c 6.193
_cell_angle_alpha 90.00
_cell_angle_beta 90.00
_cell_angle_gamma 90.00
_space_group_name_H-M_alt 'F -4 3 m'
_space_group_IT_number 216
_space_group_name_Hall 'F -4 2 3'
loop_
_atom_site_label
_atom_site_fract_x
_atom_site_fract_y
_atom_site_fract_z
Mg1 0.000 0.000 0.000
Mg2 0.250 0.250 0.250
Os1 0.000 0.000 0.500
Ru1 0.250 0.250 0.750
```

Properties
- Density: 9.51 Mg/m³
- Total DFT energy (no corrections): -2.13875 Ry/atom
- DOS at the Fermi energy: 0.65 states/eV per atom
- Energy relative to the elements: 64 meV/atom
- Distance to the lowest polymorph of the same formula: 88 meV per atom



DFT (SCAN) results for a PBEsol-optimized structure of NaLi2Ta.

The structure in CIF format:
```
data_NaLi2Ta
_cell_length_a 6.655
_cell_length_b 6.655
_cell_length_c 6.655
_cell_angle_alpha 90.00
_cell_angle_beta 90.00
_cell_angle_gamma 90.00
_space_group_name_H-M_alt 'F m -3 m'
_space_group_IT_number 225
_space_group_name_Hall '-F 4 2 3'
loop_
_atom_site_label
_atom_site_fract_x
_atom_site_fract_y
_atom_site_fract_z
Na1 0.000 0.000 0.000
Li1 0.250 0.250 0.250
Ta1 0.000 0.000 0.500
```

Properties
- Density: 4.91 Mg/m³
- Total DFT energy (no corrections): -1.30496 Ry/atom
- DOS at the Fermi energy: 0.68 states/eV per atom
- Energy relative to the elements: 1140 meV/atom